No. 1
An optimized crystal structure of KSc2Mn. Source: Alexandria via LeMat-Bulk, functional PBE.

a b c (Å): 3.4076 5.5786 5.5372
angles (deg): 90.00 90.00 90.00
Positions (direct):
Sc 0.0000 0.0000 0.0000
Sc 0.5000 0.5000 0.0000
K 0.5000 0.0000 0.5000
Mn 0.0000 0.5000 0.5000

* ΔE to the lowest computed polymorph: 559 meV per atom
* uncorrected energy: -4.920 eV per atom
* energy of formation from the pure elements: 0.813 eV per atom
* M_tot: 3.37 μB per formula unit


No. 2
An optimized crystal structure of KScMn. Source: Alexandria via LeMat-Bulk, functional PBE.

a b c (Å): 5.1760 5.1760 5.1760
angles (deg): 60.00 60.00 60.00
Positions (direct):
Mn 0.7500 0.7500 0.7500
K 0.5000 0.5000 0.5000
Sc 0.0000 0.0000 0.0000

* ΔE to the lowest computed polymorph: 657 meV per atom
* uncorrected energy: -4.322 eV per atom
* energy of formation from the pure elements: 1.211 eV per atom
* M_tot: 3.03 μB per formula unit


No. 3
An optimized crystal structure of KSc2Mn. Source: Alexandria via LeMat-Bulk, functional PBE.

a b c (Å): 3.6123 5.2763 5.2763
angles (deg): 90.00 90.00 90.00
Positions (direct):
Sc 0.0000 0.0000 0.0000
K 0.5000 0.5000 0.0000
Sc 0.0000 0.5000 0.5000
Mn 0.5000 0.0000 0.5000

* ΔE to the lowest computed polymorph: 605 meV per atom
* uncorrected energy: -4.873 eV per atom
* energy of formation from the pure elements: 0.859 eV per atom
* M_tot: 3.10 μB per formula unit


No. 4
An optimized crystal structure of KSc2Mn. Source: Alexandria via LeMat-Bulk, functional PBE.

a b c (Å): 4.9625 4.9625 4.9625
angles (deg): 60.00 60.00 60.00
Positions (direct):
Mn 0.5000 0.5000 0.5000
K 0.0000 0.0000 0.0000
Sc 0.2500 0.2500 0.2500
Sc 0.7500 0.7500 0.7500

* ΔE to the lowest computed polymorph: 734 meV per atom
* uncorrected energy: -4.744 eV per atom
* energy of formation from the pure elements: 0.988 eV per atom
* M_tot: 0.00 μB per formula unit


No. 5
An optimized crystal structure of K2ScMnSe4. Source: Alexandria via LeMat-Bulk, functional PBE.

a b c (Å): 8.4238 8.4238 8.3342
angles (deg): 121.24 121.24 87.08
Positions (direct):
Sc 0.0000 0.5000 0.0000
Se 0.2432 0.6902 0.4713
Mn 0.5000 0.5000 0.5000
K 0.5000 0.0000 0.5000
Se 0.7889 0.7539 0.5578
K 0.5000 0.0000 0.0000
K 0.5000 0.5000 0.0000
Se 0.1902 0.7432 0.9713
Se 0.7461 0.7111 0.9422
Se 0.7568 0.3098 0.5287
Se 0.2539 0.2889 0.0578
K 0.0000 0.0000 0.5000
Sc 0.0000 0.5000 0.5000
Se 0.8098 0.2568 0.0287
Mn 0.0000 0.0000 0.0000
Se 0.2111 0.2461 0.4422

* uncorrected energy: -5.049 eV per atom
* E_form (uncorrected): -1.095 eV/atom
* M_tot: 4.00 μB per formula unit


No. 6
An optimized crystal structure of K3Sc2MnSe6. Source: Alexandria via LeMat-Bulk, functional PBE.

a b c (Å): 6.8325 6.8325 7.9827
angles (deg): 99.10 99.10 118.09
Positions (direct):
Se 0.7277 0.7277 0.2044
K 0.8295 0.1705 0.5000
Sc 0.3377 0.6623 0.0000
Se 0.2723 0.2723 0.7956
K 0.1705 0.8295 0.5000
Se 0.3766 0.0587 0.1853
Se 0.6234 0.9413 0.8147
K 0.5000 0.5000 0.5000
Sc 0.6623 0.3377 0.0000
Se 0.0587 0.3766 0.1853
Se 0.9413 0.6234 0.8147
Mn 0.0000 0.0000 0.0000

* uncorrected energy: -5.140 eV per atom
* E_form (uncorrected): -1.304 eV/atom
* M_tot: 4.00 μB per formula unit


No. 7
An optimized crystal structure of KScMnTc2. Source: Alexandria via LeMat-Bulk, functional PBE.

a b c (Å): 4.4855 4.4936 4.4855
angles (deg): 90.00 90.00 90.00
Positions (direct):
Mn 0.5000 0.5000 0.5000
Tc 0.0000 0.0000 0.5000
K 0.0000 0.0000 0.0000
Sc 0.0000 0.5000 0.0000
Tc 0.5000 0.0000 0.0000

* uncorrected energy: -4.705 eV per atom
* energy of formation from the pure elements: 2.761 eV per atom
* M_tot: 0.20 μB per formula unit


No. 8
An optimized crystal structure of KScMnTe4. Source: Alexandria via LeMat-Bulk, functional PBE.

a b c (Å): 7.4479 6.2623 10.0449
angles (deg): 90.00 107.90 90.00
Positions (direct):
Sc 0.2572 0.2500 0.5540
Te 0.0190 0.5047 0.6983
Te 0.9810 0.0047 0.3017
Te 0.9810 0.4953 0.3017
K 0.2264 0.2500 0.0470
Te 0.4645 0.7500 0.1577
Te 0.0190 0.9953 0.6983
Te 0.5355 0.2500 0.8423
Mn 0.7162 0.2500 0.6612
Mn 0.2838 0.7500 0.3388
Te 0.4609 0.7500 0.6054
K 0.7736 0.7500 0.9530
Te 0.5391 0.2500 0.3946
Sc 0.7428 0.7500 0.4460

* uncorrected energy: -4.826 eV per atom
* E_form (uncorrected): -0.659 eV/atom
* M_tot: 4.32 μB per formula unit


No. 9
An optimized crystal structure of K3Sc2MnTe6. Source: Alexandria via LeMat-Bulk, functional PBE.

a b c (Å): 7.3911 7.3911 8.5469
angles (deg): 98.35 98.35 119.91
Positions (direct):
Te 0.2599 0.2599 0.8051
K 0.5000 0.5000 0.5000
Mn 0.0000 0.0000 0.0000
Te 0.9362 0.6124 0.8074
Te 0.6124 0.9362 0.8074
Sc 0.3341 0.6659 0.0000
Te 0.0638 0.3876 0.1926
K 0.8310 0.1690 0.5000
Te 0.3876 0.0638 0.1926
Sc 0.6659 0.3341 0.0000
Te 0.7401 0.7401 0.1949
K 0.1690 0.8310 0.5000

* uncorrected energy: -4.643 eV per atom
* E_form (uncorrected): -0.979 eV/atom
* M_tot: 4.02 μB per formula unit


No. 10
An optimized crystal structure of K4Sc3MnTe8. Source: Alexandria via LeMat-Bulk, functional PBE.

a b c (Å): 8.5522 9.5686 8.5524
angles (deg): 116.55 120.00 90.00
Positions (direct):
Sc 0.5000 0.5000 0.5000
Te 0.7333 0.6998 0.4666
Te 0.7379 0.6929 0.9655
K 0.5000 0.0000 0.0000
Te 0.2621 0.3071 0.0345
Te 0.2273 0.6927 0.4545
Sc 0.0000 0.5000 0.5000
Te 0.2275 0.6929 0.9655
Sc 0.5000 0.5000 0.0000
K 0.0000 0.0000 0.0000
Te 0.7727 0.3073 0.5455
Te 0.2667 0.3002 0.5334
Te 0.7725 0.3071 0.0345
K 0.5000 0.0000 0.5000
Mn 0.0000 0.5000 0.0000
K 0.0000 0.0000 0.5000

* uncorrected energy: -4.658 eV per atom
* E_form (uncorrected): -1.052 eV/atom
* M_tot: 4.07 μB per formula unit


No. 11
An optimized crystal structure of K2ScMnTe4. Source: Alexandria via LeMat-Bulk, functional PBE.

a b c (Å): 8.8862 8.8862 8.9471
angles (deg): 119.38 119.38 89.81
Positions (direct):
Sc 0.0000 0.5000 0.5000
Te 0.2428 0.6946 0.4671
Te 0.2452 0.2795 0.4735
Te 0.7795 0.7452 0.9735
Te 0.7548 0.7205 0.5265
Te 0.7572 0.3054 0.5329
K 0.5000 0.0000 0.0000
Sc 0.0000 0.5000 0.0000
Te 0.2205 0.2548 0.0265
K 0.5000 0.0000 0.5000
Mn 0.5000 0.5000 0.5000
K 0.0000 0.0000 0.5000
Te 0.8054 0.2572 0.0329
Mn 0.0000 0.0000 0.0000
K 0.5000 0.5000 0.0000
Te 0.1946 0.7428 0.9671

* uncorrected energy: -4.586 eV per atom
* E_form (uncorrected): -0.803 eV/atom
* M_tot: 3.99 μB per formula unit


No. 12
An optimized crystal structure of K3Sc3MnTe8. Source: Alexandria via LeMat-Bulk, functional PBE.

a b c (Å): 8.3403 8.3526 9.7300
angles (deg): 115.51 90.00 119.95
Positions (direct):
Te 0.7772 0.5545 0.3108
Sc 0.5000 0.5000 0.5000
Te 0.2229 0.9665 0.6893
Te 0.2564 0.0335 0.3107
Te 0.7436 0.9665 0.6893
K 0.0000 0.0000 0.0000
Sc 0.5000 0.0000 0.5000
Te 0.2669 0.5337 0.3007
K 0.5000 0.5000 0.0000
Te 0.7771 0.0335 0.3107
Te 0.7331 0.4663 0.6993
Mn 0.0000 0.0000 0.5000
K 0.0000 0.5000 0.0000
Sc 0.0000 0.5000 0.5000
Te 0.2228 0.4455 0.6892

* uncorrected energy: -4.782 eV per atom
* E_form (uncorrected): -1.009 eV/atom
* M_tot: 3.22 μB per formula unit


> uncorrected energy of number 5 (K2ScMnSe4)?

-5.049 eV per atom